(1)
DFT (PBE) results for a relaxed structure of Re2TcIr.

a b c (Å): 9.1153 9.1153 9.1153
angles (deg): 17.38 17.38 17.38
Closest atoms and distances in Å follow each position.
Fractional positions:
Ir 0.7500 0.7500 0.7500  6 Re 2.75, 6 Ir 2.75
Tc 0.2500 0.2500 0.2500  6 Re 2.75, 6 Tc 2.75
Re 0.9998 0.9998 0.9998  3 Tc 2.75, 3 Ir 2.75, 6 Re 2.75
Re 0.5002 0.5002 0.5002  3 Tc 2.75, 3 Ir 2.75, 6 Re 2.75

As for the crystal system: trigonal. The calculation puts the electronic total energy at -44.29 eV per cell. The value obtained for the energy relative to the elements is -43 meV per atom. The calculation puts the calculated density at 18.66 Mg/m³. The space group is R-3m.

---

(2)
DFT (PBE) results for a relaxed structure of Re2TcIr.

a b c (Å): 4.3978 4.3978 4.3978
angles (deg): 60.00 60.00 60.00
Closest atoms and distances in Å follow each position.
Fractional positions:
Re 0.7500 0.7500 0.7500  4 Tc 2.69, 4 Ir 2.69
Re 0.2500 0.2500 0.2500  4 Ir 2.69, 4 Tc 2.69
Tc 0.0000 0.0000 0.0000  8 Re 2.69
Ir 0.5000 0.5000 0.5000  8 Re 2.69

As for the crystal system: cubic. The calculation puts the electronic total energy at -42.35 eV per cell. The value obtained for the energy relative to the elements is 444 meV per atom. The calculation puts the calculated density at 18.29 Mg/m³. The space group is Fm-3m.

---

Number 1: E above lowest polymorph 0.0549 eV/atom. Number 2: E above lowest polymorph 0.5414 eV/atom.